Entry 1:
LaNi2 after structural relaxation, computed with PBE.

abc: 9.967 4.079 5.322
angles: 90.00 95.13 90.00
Space group C2/m (No. 12)
Symmetry-distinct sites (fractional):
La1 0.189 0.000 0.237 x4
Ni1 0.000 0.500 0.000 x2
Ni2 0.000 0.500 0.500 x2
Ni3 0.079 0.000 0.724 x4

## Properties
DOS(E_F) ... 0.678 states/eV per atom
ΔE_f ... -287 meV/atom

---

Entry 2:
Na2Hf2V after structural relaxation, computed with PBE.

abc: 3.498 3.498 18.339
angles: 90.00 90.00 90.00
Space group I4/mmm (No. 139)
Symmetry-distinct sites (fractional):
Na1 0.000 0.500 0.250 x4
Hf1 0.000 0.000 0.079 x4
V1 0.000 0.000 0.500 x2

## Properties
DOS(E_F) ... 1.116 states/eV per atom
ΔE_f ... 722 meV/atom
Offset from the most stable computed form ... 0 kJ/mol of formula units

---

ΔE_f of number 2 (Na2Hf2V)? 722 meV/atom

---

What is the ΔE_f in the first record? -287 meV/atom

---

Number 1 is which compound? LaNi2

---

Among the records above, which one has the lowest ΔE_f? LaNi2